# 1
Density functional theory data (PBE) for a relaxed structure of TmPuTcPt.

Summary:
DOS(E_F) (states/eV/f.u.): 6.29
Raw total energy (eV for the cell shown): -36.99
Energy relative to the elements (eV per atom): -0.445
Space-group type: No. 216

a b c (Å): 4.830 4.830 4.830
angles (deg): 60.00 60.00 60.00
Sites, in units of the cell vectors:
Tm 0.000 0.000 0.000
Pu 0.500 0.500 0.500
Tc 0.250 0.250 0.250
Pt 0.750 0.750 0.750

---

# 2
Density functional theory data (PBE) for a relaxed structure of PuUTcPt.

Summary:
DOS(E_F) (states/eV/f.u.): 13.03
Raw total energy (eV for the cell shown): -42.73
Energy relative to the elements (eV per atom): -0.175
Space-group type: No. 216

a b c (Å): 4.836 4.836 4.836
angles (deg): 60.00 60.00 60.00
Sites, in units of the cell vectors:
Pu 0.000 0.000 0.000
U 0.500 0.500 0.500
Tc 0.250 0.250 0.250
Pt 0.750 0.750 0.750

---

# 3
Density functional theory data (PBE) for a relaxed structure of PuZrTcPt.

Summary:
DOS(E_F) (states/eV/f.u.): 6.77
Raw total energy (eV for the cell shown): -40.96
Energy relative to the elements (eV per atom): -0.417
Space-group type: No. 216

a b c (Å): 4.775 4.775 4.775
angles (deg): 60.00 60.00 60.00
Sites, in units of the cell vectors:
Pu 0.000 0.000 0.000
Zr 0.500 0.500 0.500
Tc 0.250 0.250 0.250
Pt 0.750 0.750 0.750

---

# 4
Density functional theory data (PBE) for a relaxed structure of Pu2TePt.

Summary:
DOS(E_F) (states/eV/f.u.): 15.97
E_form (uncorrected) (eV/atom): -0.8198
Raw total energy (eV for the cell shown): -41.13
Space-group type: No. 123
Energy relative to the lowest polymorph listed for this composition (meV/atom): 24

a b c (Å): 3.651 3.651 7.300
angles (deg): 90.00 90.00 90.00
Sites, in units of the cell vectors:
Pu 0.000 0.000 0.227
Pu 0.000 0.000 0.773
Te 0.500 0.500 0.500
Pt 0.500 0.500 0.000

---

# 5
Density functional theory data (PBE) for a relaxed structure of Pu2TePt.

Summary:
DOS(E_F) (states/eV/f.u.): 15.46
E_form (uncorrected) (eV/atom): -0.7126
Raw total energy (eV for the cell shown): -40.70
Space-group type: No. 225
Energy relative to the lowest polymorph listed for this composition (meV/atom): 131

a b c (Å): 5.174 5.174 5.174
angles (deg): 60.00 60.00 60.00
Sites, in units of the cell vectors:
Pu 0.250 0.250 0.250
Pu 0.750 0.750 0.750
Te 0.000 0.000 0.000
Pt 0.500 0.500 0.500

---

# 6
Density functional theory data (PBE) for a relaxed structure of Pu2TePt.

Summary:
DOS(E_F) (states/eV/f.u.): 23.32
E_form (uncorrected) (eV/atom): -0.7492
Raw total energy (eV for the cell shown): -40.84
Space-group type: No. 160
Energy relative to the lowest polymorph listed for this composition (meV/atom): 94

a b c (Å): 8.010 8.010 8.010
angles (deg): 29.71 29.71 29.71
Sites, in units of the cell vectors:
Pu 0.000 0.000 0.000
Pu 0.189 0.189 0.189
Te 0.428 0.428 0.428
Pt 0.595 0.595 0.595